## SrYW2Cl (PBE)

Data for a geometry-optimized SrYW2Cl structure.

Calculated values
- Total moment: 0.00 μB per cell
- E_form (uncorrected): 13.57 eV/f.u.

a = 4.850 Å, b = 6.128 Å, c = 4.850 Å
α = 90.00°, β = 90.00°, γ = 90.00°
Fractional positions:
Y1 0.000 0.500 0.000
Sr1 0.000 0.000 0.000
W1 0.000 0.000 0.500
W2 0.500 0.000 0.000
Cl1 0.500 0.500 0.500



## NaTlS2 (PBE)

Data for a geometry-optimized NaTlS2 structure.

Calculated values
- Total moment: 0.00 μB per cell
- E_form (uncorrected): -2.11 eV/f.u.

a = 7.982 Å, b = 6.931 Å, c = 4.494 Å
α = 74.71°, β = 85.18°, γ = 73.31°
Fractional positions:
Na1 0.329 0.233 0.156
Na2 0.027 0.860 0.246
S1 0.266 0.495 0.553
S2 0.159 0.037 0.675
S3 0.070 0.345 0.718
S4 0.667 0.983 0.206
Tl1 0.552 0.755 0.822
Tl2 0.692 0.266 0.584